{"formula": "Sm8Ho5Er", "functional": "PBE-GGA", "state": "optimized geometry", "cell": [[6.8040, -5.0950, 0.0000], [6.8040, 5.0950, 0.0000], [-6.7994, 0.0000, 6.8136]], "species": ["Sm", "Sm", "Sm", "Sm", "Sm", "Sm", "Sm", "Sm", "Ho", "Ho", "Ho", "Ho", "Ho", "Er"], "frac_coords": [[0.0249, 0.3287, 0.7653], [0.0690, 0.0690, 0.2427], [0.2526, 0.5692, 0.5878], [0.4308, 0.7474, 0.4122], [0.5159, 0.1362, 0.8952], [0.6713, 0.9751, 0.2347], [0.8638, 0.4841, 0.1048], [0.9310, 0.9310, 0.7573], [0.0949, 0.9051, 0.5000], [0.3144, 0.2734, 0.1852], [0.5605, 0.2225, 0.5976], [0.7266, 0.6856, 0.8148], [0.7775, 0.4395, 0.4024], [0.3451, 0.6549, 0.0000]], "e_tot_ev_per_cell": -61.6, "space_group": "C2", "delta_e_f_kj_per_mol_fu": 347, "volume_a3_per_fu": 472, "magnetic_moment_mub_per_fu": 0.0, "crystal_system": "monoclinic"}

---

{"formula": "SmHo7Er2", "functional": "PBE-GGA", "state": "optimized geometry", "cell": [[4.3481, -8.0502, 0.0000], [4.3481, 8.0502, 0.0000], [0.0000, 0.0000, 5.5460]], "species": ["Sm", "Ho", "Ho", "Ho", "Ho", "Ho", "Ho", "Ho", "Er", "Er"], "frac_coords": [[0.0000, 0.0000, 0.0000], [0.0624, 0.2913, 0.5000], [0.2135, 0.7865, 0.0000], [0.2913, 0.0624, 0.5000], [0.5000, 0.5000, 0.5000], [0.7087, 0.9376, 0.5000], [0.7865, 0.2135, 0.0000], [0.9376, 0.7087, 0.5000], [0.2967, 0.7033, 0.5000], [0.7033, 0.2967, 0.5000]], "e_tot_ev_per_cell": -38.8, "e_above_lowest_polymorph_ev_per_atom": 0.685, "space_group": "Cmmm", "delta_e_f_kj_per_mol_fu": 681, "volume_a3_per_fu": 388, "magnetic_moment_mub_per_fu": 0.0, "crystal_system": "orthorhombic"}

---

{"formula": "Sm3Ho4Er5", "functional": "PBE-GGA", "state": "optimized geometry", "cell": [[6.1304, 0.0000, 0.0000], [0.0199, 7.0840, 0.0000], [0.0164, 0.0002, 8.6658]], "species": ["Sm", "Sm", "Sm", "Ho", "Ho", "Ho", "Ho", "Er", "Er", "Er", "Er", "Er"], "frac_coords": [[0.0000, 0.0000, 0.0000], [0.1663, 0.2502, 0.3334], [0.8337, 0.7498, 0.6666], [0.1678, 0.7490, 0.3331], [0.3333, 0.5000, 0.6674], [0.6667, 0.5000, 0.3326], [0.8322, 0.2510, 0.6669], [0.0000, 0.5000, 0.0000], [0.3347, 0.0002, 0.6674], [0.4992, 0.7493, 0.0001], [0.5008, 0.2507, 0.9999], [0.6653, 0.9998, 0.3326]], "e_tot_ev_per_cell": -55.1, "e_above_lowest_polymorph_ev_per_atom": 0.000, "space_group": "P-1", "delta_e_f_kj_per_mol_fu": 22, "volume_a3_per_fu": 376, "magnetic_moment_mub_per_fu": 0.0, "crystal_system": "triclinic"}

---

{"formula": "Sm7Ho4Er", "functional": "PBE-GGA", "state": "optimized geometry", "cell": [[6.2635, 0.0000, 0.0000], [0.0069, 7.2270, 0.0000], [2.1046, -0.0014, 8.6572]], "species": ["Sm", "Sm", "Sm", "Sm", "Sm", "Sm", "Sm", "Ho", "Ho", "Ho", "Ho", "Er"], "frac_coords": [[0.0000, 0.0000, 0.0000], [0.2208, 0.5000, 0.3342], [0.2800, 0.2496, 0.6657], [0.4994, 0.7518, 0.9992], [0.5006, 0.2482, 0.0008], [0.7200, 0.7504, 0.3343], [0.7792, 0.5000, 0.6658], [0.2202, 0.0001, 0.3346], [0.2782, 0.7512, 0.6674], [0.7218, 0.2488, 0.3326], [0.7798, 0.9999, 0.6654], [0.0000, 0.5000, 0.0000]], "e_tot_ev_per_cell": -55.9, "e_above_lowest_polymorph_ev_per_atom": 0.000, "space_group": "P-1", "delta_e_f_kj_per_mol_fu": 5, "volume_a3_per_fu": 392, "magnetic_moment_mub_per_fu": 0.0, "crystal_system": "triclinic"}

---

{"formula": "SmHo4Er3", "functional": "PBE-GGA", "state": "optimized geometry", "cell": [[11.1799, 0.0000, 0.0000], [0.0000, 7.2280, 0.0000], [0.0000, 0.0000, 6.2448]], "species": ["Sm", "Sm", "Ho", "Ho", "Ho", "Ho", "Ho", "Ho", "Ho", "Ho", "Er", "Er", "Er", "Er", "Er", "Er"], "frac_coords": [[0.0000, 0.1254, 0.0000], [0.5000, 0.8746, 0.5000], [0.0000, 0.3753, 0.5011], [0.0000, 0.6249, 0.9993], [0.2485, 0.6245, 0.3334], [0.2515, 0.3755, 0.8334], [0.5000, 0.3751, 0.4993], [0.5000, 0.6247, 0.0011], [0.7485, 0.3755, 0.8334], [0.7515, 0.6245, 0.3334], [0.0000, 0.8748, 0.4998], [0.2500, 0.1255, 0.3333], [0.2500, 0.8745, 0.8333], [0.5000, 0.1252, 0.9998], [0.7500, 0.1255, 0.3333], [0.7500, 0.8745, 0.8333]], "e_tot_ev_per_cell": -73.4, "e_above_lowest_polymorph_ev_per_atom": 0.000, "space_group": "Pmn2_1", "delta_e_f_kj_per_mol_fu": 3, "volume_a3_per_fu": 252, "magnetic_moment_mub_per_fu": 0.0, "crystal_system": "orthorhombic"}

---

{"formula": "Sm2Ho5Er5", "functional": "PBE-GGA", "state": "optimized geometry", "cell": [[7.4946, -2.4959, 0.0000], [7.4946, 2.4959, 0.0000], [-4.9943, 0.0000, 9.9951]], "species": ["Sm", "Sm", "Ho", "Ho", "Ho", "Ho", "Ho", "Er", "Er", "Er", "Er", "Er"], "frac_coords": [[0.0831, 0.0831, 0.2494], [0.9169, 0.9169, 0.7506], [0.3336, 0.3336, 0.4999], [0.4157, 0.4157, 0.2497], [0.5000, 0.5000, 0.0000], [0.5843, 0.5843, 0.7503], [0.6664, 0.6664, 0.5001], [0.0000, 0.0000, 0.5000], [0.1674, 0.1674, 0.0001], [0.2491, 0.2491, 0.7497], [0.7509, 0.7509, 0.2503], [0.8326, 0.8326, 0.9999]], "e_tot_ev_per_cell": -54.9, "space_group": "C2/m", "delta_e_f_kj_per_mol_fu": 25, "volume_a3_per_fu": 374, "magnetic_moment_mub_per_fu": 0.0, "crystal_system": "monoclinic"}

---

{"formula": "Sm2Ho4Er5", "functional": "PBE-GGA", "state": "optimized geometry", "cell": [[-1.7380, 4.4797, 11.5276], [1.7380, -4.4797, 11.5276], [1.7380, 4.4797, -11.5276]], "species": ["Sm", "Sm", "Ho", "Ho", "Ho", "Ho", "Er", "Er", "Er", "Er", "Er"], "frac_coords": [[0.2320, 0.2320, 0.0000], [0.7680, 0.7680, 0.0000], [0.0969, 0.0969, 0.0000], [0.1911, 0.5000, 0.6911], [0.8089, 0.5000, 0.3089], [0.9031, 0.9031, 0.0000], [0.1624, 0.3578, 0.8046], [0.4469, 0.6422, 0.8046], [0.5000, 0.0000, 0.5000], [0.5531, 0.3578, 0.1954], [0.8376, 0.6422, 0.1954]], "e_tot_ev_per_cell": -48.1, "e_above_lowest_polymorph_ev_per_atom": 0.203, "space_group": "Immm", "delta_e_f_kj_per_mol_fu": 237, "volume_a3_per_fu": 359, "magnetic_moment_mub_per_fu": 0.0, "crystal_system": "orthorhombic"}

---

{"formula": "Sm2Ho2Er15", "functional": "PBE-GGA", "state": "optimized geometry", "cell": [[5.5602, 3.2102, 5.8057], [-5.5602, 3.2102, 5.8057], [0.0000, -6.4204, 5.8057]], "species": ["Sm", "Sm", "Ho", "Ho", "Er", "Er", "Er", "Er", "Er", "Er", "Er", "Er", "Er", "Er", "Er", "Er", "Er", "Er", "Er"], "frac_coords": [[0.1739, 0.1739, 0.1739], [0.8261, 0.8261, 0.8261], [0.4017, 0.4017, 0.4017], [0.5983, 0.5983, 0.5983], [0.0000, 0.5000, 0.5000], [0.1330, 0.1330, 0.6478], [0.1330, 0.6478, 0.1330], [0.2009, 0.5000, 0.7991], [0.2009, 0.7991, 0.5000], [0.3522, 0.8670, 0.8670], [0.5000, 0.0000, 0.5000], [0.5000, 0.2009, 0.7991], [0.5000, 0.5000, 0.0000], [0.5000, 0.7991, 0.2009], [0.6478, 0.1330, 0.1330], [0.7991, 0.2009, 0.5000], [0.7991, 0.5000, 0.2009], [0.8670, 0.3522, 0.8670], [0.8670, 0.8670, 0.3522]], "e_tot_ev_per_cell": -81.6, "space_group": "R-3m", "delta_e_f_kj_per_mol_fu": 522, "volume_a3_per_fu": 622, "magnetic_moment_mub_per_fu": 0.0, "crystal_system": "trigonal"}

---

{"formula": "Sm9Ho11Er4", "functional": "PBE-GGA", "state": "optimized geometry", "cell": [[8.3401, -12.6487, 0.0000], [8.3401, 12.6487, 0.0000], [0.0000, 0.0000, 3.6782]], "species": ["Sm", "Sm", "Sm", "Sm", "Sm", "Sm", "Sm", "Sm", "Sm", "Ho", "Ho", "Ho", "Ho", "Ho", "Ho", "Ho", "Ho", "Ho", "Ho", "Ho", "Er", "Er", "Er", "Er"], "frac_coords": [[0.0000, 0.0000, 0.0000], [0.1301, 0.6637, 0.0000], [0.2860, 0.4329, 0.0000], [0.3363, 0.8699, 0.0000], [0.4329, 0.2860, 0.0000], [0.5671, 0.7140, 0.0000], [0.6637, 0.1301, 0.0000], [0.7140, 0.5671, 0.0000], [0.8699, 0.3363, 0.0000], [0.0939, 0.4549, 0.5000], [0.1324, 0.8676, 0.5000], [0.2088, 0.2088, 0.5000], [0.3392, 0.6608, 0.5000], [0.4549, 0.0939, 0.5000], [0.5000, 0.5000, 0.5000], [0.5451, 0.9061, 0.5000], [0.6608, 0.3392, 0.5000], [0.7912, 0.7912, 0.5000], [0.8676, 0.1324, 0.5000], [0.9061, 0.5451, 0.5000], [0.0548, 0.2561, 0.0000], [0.2561, 0.0548, 0.0000], [0.7439, 0.9452, 0.0000], [0.9452, 0.7439, 0.0000]], "e_tot_ev_per_cell": -109.9, "space_group": "Cmmm", "delta_e_f_kj_per_mol_fu": 116, "volume_a3_per_fu": 776, "magnetic_moment_mub_per_fu": 0.0, "crystal_system": "orthorhombic"}

---

{"formula": "Sm4HoEr10", "functional": "PBE-GGA", "state": "optimized geometry", "cell": [[-5.5922, 5.5922, 3.9418], [5.5922, -5.5922, 3.9418], [5.5922, 5.5922, -3.9418]], "species": ["Sm", "Sm", "Sm", "Sm", "Ho", "Er", "Er", "Er", "Er", "Er", "Er", "Er", "Er", "Er", "Er"], "frac_coords": [[0.2286, 0.2286, 0.4572], [0.2286, 0.7714, 0.0000], [0.7714, 0.2286, 0.0000], [0.7714, 0.7714, 0.5428], [0.0000, 0.0000, 0.0000], [0.0850, 0.2934, 0.7916], [0.2500, 0.7500, 0.5000], [0.2934, 0.0850, 0.7916], [0.2934, 0.5018, 0.2084], [0.4982, 0.7066, 0.7916], [0.5018, 0.2934, 0.2084], [0.7066, 0.4982, 0.7916], [0.7066, 0.9150, 0.2084], [0.7500, 0.2500, 0.5000], [0.9150, 0.7066, 0.2084]], "e_tot_ev_per_cell": -65.0, "space_group": "I4/mmm", "delta_e_f_kj_per_mol_fu": 396, "volume_a3_per_fu": 493, "magnetic_moment_mub_per_fu": 0.0, "crystal_system": "tetragonal"}

---

{"formula": "Sm12Ho6Er", "functional": "PBE-GGA", "state": "optimized geometry", "cell": [[6.0199, 3.4756, 5.0626], [-6.0199, 3.4756, 5.0626], [0.0000, -6.9511, 5.0626]], "species": ["Sm", "Sm", "Sm", "Sm", "Sm", "Sm", "Sm", "Sm", "Sm", "Sm", "Sm", "Sm", "Ho", "Ho", "Ho", "Ho", "Ho", "Ho", "Er"], "frac_coords": [[0.0162, 0.3611, 0.1959], [0.1959, 0.0162, 0.3611], [0.2207, 0.5665, 0.4618], [0.3611, 0.1959, 0.0162], [0.4335, 0.5382, 0.7793], [0.4618, 0.2207, 0.5665], [0.5382, 0.7793, 0.4335], [0.5665, 0.4618, 0.2207], [0.6389, 0.8041, 0.9838], [0.7793, 0.4335, 0.5382], [0.8041, 0.9838, 0.6389], [0.9838, 0.6389, 0.8041], [0.0976, 0.2596, 0.7005], [0.2596, 0.7005, 0.0976], [0.2995, 0.9024, 0.7404], [0.7005, 0.0976, 0.2596], [0.7404, 0.2995, 0.9024], [0.9024, 0.7404, 0.2995], [0.0000, 0.0000, 0.0000]], "e_tot_ev_per_cell": -86.0, "e_above_lowest_polymorph_ev_per_atom": 0.000, "space_group": "R-3", "delta_e_f_kj_per_mol_fu": 260, "volume_a3_per_fu": 636, "magnetic_moment_mub_per_fu": 0.0, "crystal_system": "trigonal"}

---

{"formula": "SmHoEr6", "functional": "PBE-GGA", "state": "optimized geometry", "cell": [[5.0000, -3.3483, 0.0000], [5.0000, 3.3483, 0.0000], [-2.1689, 0.0000, 8.2050]], "species": ["Sm", "Ho", "Er", "Er", "Er", "Er", "Er", "Er"], "frac_coords": [[0.0000, 0.0000, 0.0000], [0.0000, 0.0000, 0.5000], [0.0621, 0.5439, 0.6997], [0.3733, 0.3733, 0.0746], [0.4561, 0.9379, 0.3003], [0.5439, 0.0621, 0.6997], [0.6267, 0.6267, 0.9254], [0.9379, 0.4561, 0.3003]], "e_tot_ev_per_cell": -33.7, "e_above_lowest_polymorph_ev_per_atom": 0.352, "space_group": "C2/m", "delta_e_f_kj_per_mol_fu": 290, "volume_a3_per_fu": 275, "magnetic_moment_mub_per_fu": 0.0, "crystal_system": "monoclinic"}